Ba7TlSb2O2: relaxed, GGA-PBE.

## Properties
- Magnetization: 0.055 μB/atom
- Energy relative to the elements, uncorrected: -1351 meV per atom
- Raw total energy: -4.18 eV per atom

```
Ba7TlSb2O2
1.0
-2.705 2.705 14.868
2.705 -2.705 14.868
2.705 2.705 -14.868
Ba Tl Sb O
7 1 2 2
Cartesian
0.000 0.000 0.000
2.705 0.000 2.915
0.000 0.000 5.981
2.705 0.000 11.953
0.000 2.705 2.915
0.000 0.000 23.755
0.000 2.705 11.953
0.000 0.000 14.868
0.000 0.000 9.506
0.000 0.000 20.229
0.000 0.000 2.936
0.000 0.000 26.799
```

---

Ba2Tl2Sb3O10: relaxed, GGA-PBE.

## Properties
- Magnetization: 0.000 μB/atom
- Energy relative to the elements, uncorrected: -1394 meV per atom
- Raw total energy: -5.54 eV per atom

```
Ba2Tl2Sb3O10
1.0
3.834 0.000 0.000
-0.001 3.861 0.000
-1.870 -1.924 20.131
Ba Tl Sb O
2 2 3 10
Cartesian
0.000 0.000 0.000
0.055 0.009 11.964
0.053 0.137 17.222
1.972 2.068 14.872
1.914 1.931 2.786
1.919 1.936 5.976
1.969 1.941 9.178
-0.003 1.931 1.954
0.001 1.936 5.314
0.053 1.942 9.993
0.055 -0.315 15.126
0.049 -0.014 19.293
1.915 0.001 1.993
1.915 0.006 6.594
1.972 0.010 9.984
1.972 1.919 12.800
1.971 1.615 16.968
```